A relaxed structure of AcScIn2. Source: Alexandria via LeMat-Bulk, functional PBE-GGA.

Calculated values
The value obtained for the formation energy is -0.32 eV per atom. For the density of states at the Fermi level, the calculation gives 4.75 states/eV per cell. Its symmetry is R-3m.

a b c (Å): 4.917 4.914 6.576
angles (deg): 111.96 90.00 120.02
Fractional positions:
Ac1 0.750 0.500 0.250
Sc1 0.250 0.500 0.750
In1 0.969 0.938 0.906
In2 0.531 0.062 0.594